(1)
PBE Ce5RhPb2, relaxed; Fermi-level density of states = 55.5 states/eV/cell; spin magnetization = 12.052 Bohr magnetons per cell; ΔH_f (0 K) = 0.018 eV/atom; relative energy among the computed polymorphs = 0.436 eV per atom; V = 574 Å³ per cell; symmetry = Cmcm, No. 63
1.0
5.3613 0.0000 0.0000
-2.6807 8.6180 0.0000
0.0000 0.0000 12.4236
Pb Ce Rh
4 10 2
Direct
0.1327 0.2653 0.8692 Pb
0.8673 0.7347 0.1308 Pb
0.8673 0.7347 0.3692 Pb
0.1327 0.2653 0.6308 Pb
0.0534 0.1067 0.4075 Ce
0.9466 0.8933 0.9075 Ce
0.6894 0.3789 0.2500 Ce
0.3106 0.6211 0.7500 Ce
0.2732 0.5465 0.0549 Ce
0.2732 0.5465 0.4451 Ce
0.0534 0.1067 0.0925 Ce
0.9466 0.8933 0.5925 Ce
0.7268 0.4535 0.9451 Ce
0.7268 0.4535 0.5549 Ce
0.1692 0.3385 0.2500 Rh
0.8308 0.6615 0.7500 Rh

=====

(2)
PBE Ce5RhPb2, relaxed; Fermi-level density of states = 56.0 states/eV/cell; spin magnetization = 10.625 Bohr magnetons per cell; ΔH_f (0 K) = -0.418 eV/atom; relative energy among the computed polymorphs = 0.000 eV per atom; V = 469 Å³ per cell; symmetry = Pbam, No. 55
1.0
4.7458 0.0000 0.0000
0.0000 7.9460 0.0000
0.0000 0.0000 12.4316
Pb Rh Ce
4 2 10
Direct
0.5000 0.5887 0.1758 Pb
0.5000 0.9113 0.6758 Pb
0.5000 0.0887 0.3242 Pb
0.5000 0.4113 0.8242 Pb
0.0000 0.0000 0.0000 Rh
0.0000 0.5000 0.5000 Rh
0.5000 0.7029 0.4388 Ce
0.0000 0.0000 0.5000 Ce
0.5000 0.7971 0.9388 Ce
0.5000 0.2029 0.0612 Ce
0.5000 0.2971 0.5612 Ce
0.0000 0.1254 0.8004 Ce
0.0000 0.5000 0.0000 Ce
0.0000 0.8746 0.1996 Ce
0.0000 0.3746 0.3004 Ce
0.0000 0.6254 0.6996 Ce